<P>
LiTlTe GGA-PBE optimized geometry; crystal system = cubic
1.0
-4.3004 -1.7136 -1.7142
-0.1968 -4.4137 -2.2020
-2.2234 -3.7866 2.2553
Tl Te Li
1 1 1
direct
0.5000 0.5000 0.5000 Tl
0.0000 0.0000 0.0000 Te
0.7500 0.7500 0.7500 Li

<Q>
LiTlTe GGA-PBE optimized geometry; crystal system = monoclinic
1.0
3.5644 0.0000 0.0091
0.0000 4.3705 0.0000
-0.0129 0.0000 5.6266
Te Li Tl
1 1 1
direct
0.2510 0.5000 0.0563 Te
0.7506 0.0000 0.1034 Li
0.2479 0.0000 0.5881 Tl

Which structure is the least stable? The one labeled <Q>.